GGA-PBE LaY2Mg4, relaxed; calculated volume = 31.85 Å³ per atom; formation energy = 0.097 eV/atom; E_tot = -3.36 eV per atom
1.0
-0.3454 2.9497 -5.9177
2.5345 -6.0533 -0.8793
-6.1022 -0.1546 2.5649
Mg Y La
4 2 1
Direct
0.0000 0.5000 0.0000
0.0000 0.0000 0.5000
0.5000 0.0000 0.0000
0.5000 0.5000 0.5000
0.5000 0.0000 0.5000
0.5000 0.5000 0.0000
0.0000 0.0000 0.0000